Below is a relaxed YMg3Hg4 crystal, with properties calculated at the PBE level.

a = 4.9429 Å, b = 4.9429 Å, c = 25.3567 Å
α = 90.00°, β = 90.00°, γ = 120.00°
Space group R-3m (No. 166, hexagonal axes)
Unique sites:
Y1 0.0000 0.0000 0.0000 x3
Mg1 0.0000 0.0000 0.2487 x6
Mg2 0.0000 0.0000 0.5000 x3
Hg1 0.0000 0.0000 0.1270 x6
Hg2 0.0000 0.0000 0.3812 x6

Results
* Fermi-level density of states: 12.6 states/eV per cell
* calculated formation energy: -0.3265 eV/atom


Below is a relaxed Y4MgHg crystal, with properties calculated at the PBE level.

a = 5.1187 Å, b = 5.1187 Å, c = 7.4716 Å
α = 90.00°, β = 90.00°, γ = 90.00°
Space group P4/mmm (No. 123)
Unique sites:
Y1 0.0000 0.5000 0.2403 x4
Mg1 0.0000 0.0000 0.5000 x1
Hg1 0.5000 0.5000 0.0000 x1

Results
* Fermi-level density of states: 7.6 states/eV per cell
* calculated formation energy: 0.1220 eV/atom


Below is a relaxed YMgHg2 crystal, with properties calculated at the PBE level.

a = 3.8702 Å, b = 3.8702 Å, c = 6.6122 Å
α = 90.00°, β = 90.00°, γ = 90.00°
Space group P4mm (No. 99)
Unique sites:
Y1 0.0000 0.0000 0.0000 x1
Mg1 0.5000 0.5000 0.6878 x1
Hg1 0.0000 0.0000 0.5121 x1
Hg2 0.5000 0.5000 0.2264 x1

Results
* Fermi-level density of states: 2.9 states/eV per cell
* calculated formation energy: -0.2524 eV/atom


Below is a relaxed YMgHg crystal, with properties calculated at the PBE level.

a = 3.6224 Å, b = 3.6224 Å, c = 7.1134 Å
α = 90.00°, β = 90.00°, γ = 120.00°
Space group P3m1 (No. 156)
Unique sites:
Y1 0.0000 0.0000 0.0000 x1
Mg1 0.3333 0.6667 0.6296 x1
Hg1 0.6667 0.3333 0.3330 x1

Results
* Fermi-level density of states: 2.0 states/eV per cell
* calculated formation energy: -0.1631 eV/atom


Below is a relaxed Y2MgHg crystal, with properties calculated at the PBE level.

a = 3.6663 Å, b = 5.2805 Å, c = 11.0267 Å
α = 90.00°, β = 90.00°, γ = 90.00°
Space group Imm2 (No. 44)
Unique sites:
Y1 0.0000 0.0000 0.0000 x2
Y2 0.0000 0.5000 0.2234 x2
Mg1 0.0000 0.0000 0.4464 x2
Hg1 0.0000 0.5000 0.7437 x2

Results
* Fermi-level density of states: 8.8 states/eV per cell
* calculated formation energy: -0.2465 eV/atom


Below is a relaxed YMgHg crystal, with properties calculated at the PBE level.

a = 6.9428 Å, b = 6.9428 Å, c = 6.9428 Å
α = 90.00°, β = 90.00°, γ = 90.00°
Space group F-43m (No. 216)
Unique sites:
Y1 0.0000 0.0000 0.0000 x4
Mg1 0.0000 0.0000 0.5000 x4
Hg1 0.2500 0.2500 0.2500 x4

Results
* Fermi-level density of states: 16.7 states/eV per cell
* calculated formation energy: -0.2212 eV/atom


Below is a relaxed YMg4Hg2 crystal, with properties calculated at the PBE level.

a = 8.3945 Å, b = 8.3945 Å, c = 4.6123 Å
α = 90.00°, β = 90.00°, γ = 90.00°
Space group P4_2/mnm (No. 136)
Unique sites:
Y1 0.0000 0.0000 0.0000 x2
Mg1 0.0977 0.3447 0.5000 x8
Hg1 0.2066 0.7934 0.5000 x4

Results
* Fermi-level density of states: 7.0 states/eV per cell
* calculated formation energy: -0.2394 eV/atom


Below is a relaxed Y2MgHg crystal, with properties calculated at the PBE level.

a = 3.6288 Å, b = 3.6288 Å, c = 30.3736 Å
α = 90.00°, β = 90.00°, γ = 120.00°
Space group R3m (No. 160, hexagonal axes)
Unique sites:
Y1 0.0000 0.0000 0.0000 x3
Y2 0.0000 0.0000 0.1774 x3
Mg1 0.0000 0.0000 0.7550 x3
Hg1 0.0000 0.0000 0.5885 x3

Results
* Fermi-level density of states: 13.8 states/eV per cell
* calculated formation energy: -0.1268 eV/atom